[1]
## TcAgSb (GGA-PBE)

Data for a relaxed TcAgSb crystal. Values from VASP.

Summary:
Distance to the lowest polymorph of the same formula, eV/f.u.: 0.869
Calculated density, g/cm³: 9.23

Cell and atoms, written as Quantum ESPRESSO input:
```
&SYSTEM
  ibrav = 0, nat = 3, ntyp = 3
/
ATOMIC_SPECIES
Ag 107.87 Ag.upf
Sb 121.76 Sb.upf
Tc 98.00 Tc.upf
ATOMIC_POSITIONS crystal
Ag 0.667 0.333 0.000
Sb 0.000 0.000 0.000
Tc 0.333 0.667 0.000
CELL_PARAMETERS angstrom
4.941 0.000 0.000
-2.470 4.279 0.000
0.000 0.000 2.789
```

[2]
## ScAlOs (GGA-PBE)

Data for a relaxed ScAlOs crystal. Values from VASP.

Summary:
Calculated density, g/cm³: 7.53
Uncorrected energy, eV/cell: -21.9

Cell and atoms, written as Quantum ESPRESSO input:
```
&SYSTEM
  ibrav = 0, nat = 3, ntyp = 3
/
ATOMIC_SPECIES
Al 26.98 Al.upf
Os 190.23 Os.upf
Sc 44.96 Sc.upf
ATOMIC_POSITIONS crystal
Al 0.250 0.250 0.250
Os 0.000 0.000 0.000
Sc 0.750 0.750 0.750
CELL_PARAMETERS angstrom
0.000 3.069 3.069
3.069 0.000 3.069
3.069 3.069 0.000
```

[3]
## BaZrAs2O8 (GGA-PBE)

Data for a relaxed BaZrAs2O8 crystal. Values from VASP.

Summary:
Calculated density, g/cm³: 4.34
Uncorrected energy, eV/cell: -85.2

Cell and atoms, written as Quantum ESPRESSO input:
```
&SYSTEM
  ibrav = 0, nat = 12, ntyp = 4
/
ATOMIC_SPECIES
As 74.92 As.upf
Ba 137.33 Ba.upf
O 16.00 O.upf
Zr 91.22 Zr.upf
ATOMIC_POSITIONS crystal
As 0.633 0.633 0.277
As 0.367 0.367 0.723
Ba 0.000 0.000 0.000
O 0.696 0.696 0.081
O 0.769 0.271 0.303
O 0.271 0.769 0.303
O 0.767 0.767 0.442
O 0.233 0.233 0.558
O 0.729 0.231 0.697
O 0.231 0.729 0.697
O 0.304 0.304 0.919
Zr 0.000 0.000 0.500
CELL_PARAMETERS angstrom
-4.394 -2.620 -0.754
-0.456 -2.058 -4.722
3.753 -6.415 2.817
```

[4]
## ZrCdNO (GGA-PBE)

Data for a relaxed ZrCdNO crystal. Values from VASP.

Summary:
Distance to the lowest polymorph of the same formula, eV/f.u.: 0.389
Calculated density, g/cm³: 5.86

Cell and atoms, written as Quantum ESPRESSO input:
```
&SYSTEM
  ibrav = 0, nat = 8, ntyp = 4
/
ATOMIC_SPECIES
Cd 112.41 Cd.upf
N 14.01 N.upf
O 16.00 O.upf
Zr 91.22 Zr.upf
ATOMIC_POSITIONS crystal
Cd 0.500 0.965 0.142
Cd 0.500 0.465 0.858
N 0.000 0.901 0.360
N 0.000 0.401 0.640
O 0.500 0.391 0.267
O 0.500 0.891 0.733
Zr 0.000 0.497 0.351
Zr 0.000 0.997 0.649
CELL_PARAMETERS angstrom
-1.874 -3.245 0.000
0.000 0.000 5.144
-5.946 3.433 0.000
```

[5]
## Lu3NCl6 (GGA-PBE)

Data for a relaxed Lu3NCl6 crystal. Values from VASP.

Summary:
Calculated density, g/cm³: 5.44
Uncorrected energy, eV/cell: -108.6

Cell and atoms, written as Quantum ESPRESSO input:
```
&SYSTEM
  ibrav = 0, nat = 20, ntyp = 3
/
ATOMIC_SPECIES
Cl 35.45 Cl.upf
Lu 174.97 Lu.upf
N 14.01 N.upf
ATOMIC_POSITIONS crystal
Cl 0.692 0.419 0.096
Cl 0.283 0.890 0.105
Cl 0.174 0.284 0.209
Cl 0.831 0.741 0.214
Cl 0.542 0.171 0.396
Cl 0.000 0.000 0.500
Cl 0.000 0.500 0.500
Cl 0.458 0.829 0.604
Cl 0.169 0.259 0.786
Cl 0.826 0.716 0.791
Cl 0.717 0.110 0.895
Cl 0.308 0.581 0.904
Lu 0.282 0.570 0.228
Lu 0.407 0.901 0.327
Lu 0.734 0.423 0.375
Lu 0.266 0.577 0.625
Lu 0.593 0.099 0.673
Lu 0.718 0.430 0.772
N 0.405 0.627 0.384
N 0.595 0.373 0.616
CELL_PARAMETERS angstrom
6.868 0.000 0.000
3.215 7.339 0.000
3.149 1.037 9.111
```

[6]
## ThCoCu (GGA-PBE)

Data for a relaxed ThCoCu crystal. Values from VASP.

Summary:
Calculated density, g/cm³: 9.84
Formation energy, eV/f.u.: 0.00

Cell and atoms, written as Quantum ESPRESSO input:
```
&SYSTEM
  ibrav = 0, nat = 3, ntyp = 3
/
ATOMIC_SPECIES
Co 58.93 Co.upf
Cu 63.55 Cu.upf
Th 232.04 Th.upf
ATOMIC_POSITIONS crystal
Co 0.000 0.000 0.000
Cu 0.250 0.250 0.250
Th 0.750 0.750 0.750
CELL_PARAMETERS angstrom
0.526 2.083 3.829
-3.216 2.540 1.577
-2.279 -1.281 3.527
```

[7]
## LiCuTe3Pt (GGA-PBE)

Data for a relaxed LiCuTe3Pt crystal. Values from VASP.

Summary:
Calculated density, g/cm³: 7.82
Uncorrected energy, eV/cell: -45.9

Cell and atoms, written as Quantum ESPRESSO input:
```
&SYSTEM
  ibrav = 0, nat = 12, ntyp = 4
/
ATOMIC_SPECIES
Cu 63.55 Cu.upf
Li 6.94 Li.upf
Pt 195.08 Pt.upf
Te 127.60 Te.upf
ATOMIC_POSITIONS crystal
Cu 0.556 0.556 0.250
Cu 0.444 0.444 0.750
Li 0.235 0.235 0.250
Li 0.765 0.765 0.750
Pt 0.000 0.000 0.000
Pt 0.000 0.000 0.500
Te 0.641 0.641 0.033
Te 0.925 0.925 0.250
Te 0.641 0.641 0.467
Te 0.359 0.359 0.533
Te 0.075 0.075 0.750
Te 0.359 0.359 0.967
CELL_PARAMETERS angstrom
6.354 -2.008 0.000
6.354 2.008 0.000
0.000 0.000 10.792
```

[8]
## Pr2Bi2O5 (GGA-PBE)

Data for a relaxed Pr2Bi2O5 crystal. Values from VASP.

Summary:
Distance to the lowest polymorph of the same formula, eV/f.u.: 0.000
Calculated density, g/cm³: 8.08

Cell and atoms, written as Quantum ESPRESSO input:
```
&SYSTEM
  ibrav = 0, nat = 9, ntyp = 3
/
ATOMIC_SPECIES
Bi 208.98 Bi.upf
O 16.00 O.upf
Pr 140.91 Pr.upf
ATOMIC_POSITIONS crystal
Bi 0.000 0.000 0.000
Bi 0.500 0.000 0.000
O 0.139 0.500 0.000
O 0.860 0.500 0.000
O 0.139 0.000 0.500
O 0.860 0.000 0.500
O 0.500 0.500 0.500
Pr 0.252 0.500 0.500
Pr 0.748 0.500 0.500
CELL_PARAMETERS angstrom
-1.067 -1.606 9.842
3.321 -2.224 -0.003
2.183 3.259 0.769
```

[9]
## BeFeBAs (GGA-PBE)

Data for a relaxed BeFeBAs crystal. Values from VASP.

Summary:
Distance to the lowest polymorph of the same formula, eV/f.u.: 0.933
Calculated density, g/cm³: 5.94

Cell and atoms, written as Quantum ESPRESSO input:
```
&SYSTEM
  ibrav = 0, nat = 4, ntyp = 4
/
ATOMIC_SPECIES
As 74.92 As.upf
B 10.81 B.upf
Be 9.01 Be.upf
Fe 55.84 Fe.upf
ATOMIC_POSITIONS crystal
As 0.250 0.250 0.250
B 0.000 0.000 0.000
Be 0.750 0.750 0.750
Fe 0.500 0.500 0.500
CELL_PARAMETERS angstrom
0.000 2.760 2.760
2.760 0.000 2.760
2.760 2.760 0.000
```

[10]
## YPdAu (GGA-PBE)

Data for a relaxed YPdAu crystal. Values from VASP.

Summary:
Calculated density, g/cm³: 8.84
Formation energy, eV/f.u.: -1.35

Cell and atoms, written as Quantum ESPRESSO input:
```
&SYSTEM
  ibrav = 0, nat = 3, ntyp = 3
/
ATOMIC_SPECIES
Au 196.97 Au.upf
Pd 106.42 Pd.upf
Y 88.91 Y.upf
ATOMIC_POSITIONS crystal
Au 0.250 0.250 0.250
Pd 0.750 0.750 0.750
Y 0.000 0.000 0.000
CELL_PARAMETERS angstrom
0.000 3.327 3.327
3.327 0.000 3.327
3.327 3.327 0.000
```

[11]
## Dy2Y3ScAs2Os (GGA-PBE)

Data for a relaxed Dy2Y3ScAs2Os crystal. Values from VASP.

Summary:
Calculated density, g/cm³: 7.47
Uncorrected energy, eV/cell: -62.5

Cell and atoms, written as Quantum ESPRESSO input:
```
&SYSTEM
  ibrav = 0, nat = 9, ntyp = 5
/
ATOMIC_SPECIES
As 74.92 As.upf
Dy 162.50 Dy.upf
Os 190.23 Os.upf
Sc 44.96 Sc.upf
Y 88.91 Y.upf
ATOMIC_POSITIONS crystal
As 0.500 0.658 0.330
As 0.500 0.330 0.658
Dy 0.500 0.997 0.759
Dy 0.500 0.759 0.997
Os 0.000 0.029 0.029
Sc 0.500 0.246 0.246
Y 0.000 0.402 0.000
Y 0.000 0.000 0.402
Y 0.000 0.579 0.579
CELL_PARAMETERS angstrom
4.120 0.000 0.000
0.000 6.714 3.924
0.000 -6.714 3.924
```

[12]
## RbSi5Mo3 (GGA-PBE)

Data for a relaxed RbSi5Mo3 crystal. Values from VASP.

Summary:
Calculated density, g/cm³: 4.17
Uncorrected energy, eV/cell: -59.0

Cell and atoms, written as Quantum ESPRESSO input:
```
&SYSTEM
  ibrav = 0, nat = 9, ntyp = 3
/
ATOMIC_SPECIES
Mo 95.94 Mo.upf
Rb 85.47 Rb.upf
Si 28.09 Si.upf
ATOMIC_POSITIONS crystal
Mo 0.500 0.000 0.500
Mo 0.000 0.500 0.500
Mo 0.500 0.500 0.500
Rb 0.000 0.000 0.000
Si 0.667 0.333 0.248
Si 0.333 0.667 0.248
Si 0.000 0.000 0.500
Si 0.667 0.333 0.752
Si 0.333 0.667 0.752
CELL_PARAMETERS angstrom
-1.472 0.651 -5.015
3.648 -3.595 1.228
-6.112 -5.848 1.035
```

[13]
## LiGaCuPd (GGA-PBE)

Data for a relaxed LiGaCuPd crystal. Values from VASP.

Summary:
Distance to the lowest polymorph of the same formula, eV/f.u.: 0.008
Calculated density, g/cm³: 7.73

Cell and atoms, written as Quantum ESPRESSO input:
```
&SYSTEM
  ibrav = 0, nat = 4, ntyp = 4
/
ATOMIC_SPECIES
Cu 63.55 Cu.upf
Ga 69.72 Ga.upf
Li 6.94 Li.upf
Pd 106.42 Pd.upf
ATOMIC_POSITIONS crystal
Cu 0.750 0.250 0.500
Ga 0.500 0.500 0.000
Li 0.000 0.000 0.000
Pd 0.250 0.750 0.500
CELL_PARAMETERS angstrom
-2.100 2.103 3.001
2.100 -2.103 3.001
2.100 2.103 -3.001
```

[14]
## Ta2Ir (GGA-PBE)

Data for a relaxed Ta2Ir crystal. Values from VASP.

Summary:
Calculated density, g/cm³: 5.09
Formation energy, eV/f.u.: 9.34

Cell and atoms, written as Quantum ESPRESSO input:
```
&SYSTEM
  ibrav = 0, nat = 6, ntyp = 2
/
ATOMIC_SPECIES
Ir 192.22 Ir.upf
Ta 180.95 Ta.upf
ATOMIC_POSITIONS crystal
Ir 0.250 0.250 0.250
Ir 0.500 0.500 0.500
Ta 0.375 0.375 0.375
Ta 0.875 0.375 0.375
Ta 0.375 0.875 0.375
Ta 0.375 0.375 0.875
CELL_PARAMETERS angstrom
3.998 2.308 6.528
-3.998 2.308 6.528
0.000 -4.616 6.528
```

[15]
## PaNbSi (GGA-PBE)

Data for a relaxed PaNbSi crystal. Values from VASP.

Summary:
Distance to the lowest polymorph of the same formula, eV/f.u.: 2.460
Calculated density, g/cm³: 8.56

Cell and atoms, written as Quantum ESPRESSO input:
```
&SYSTEM
  ibrav = 0, nat = 3, ntyp = 3
/
ATOMIC_SPECIES
Nb 92.91 Nb.upf
Pa 231.04 Pa.upf
Si 28.09 Si.upf
ATOMIC_POSITIONS crystal
Nb 0.250 0.250 0.250
Pa 0.000 0.000 0.000
Si 0.750 0.750 0.750
CELL_PARAMETERS angstrom
0.000 3.244 3.244
3.244 0.000 3.244
3.244 3.244 0.000
```

[16]
## ZrIn2Fe (GGA-PBE)

Data for a relaxed ZrIn2Fe crystal. Values from VASP.

Summary:
Calculated density, g/cm³: 8.03
Uncorrected energy, eV/cell: -21.8

Cell and atoms, written as Quantum ESPRESSO input:
```
&SYSTEM
  ibrav = 0, nat = 4, ntyp = 3
/
ATOMIC_SPECIES
Fe 55.84 Fe.upf
In 114.82 In.upf
Zr 91.22 Zr.upf
ATOMIC_POSITIONS crystal
Fe 0.750 0.750 0.750
In 0.000 0.000 0.000
In 0.250 0.250 0.250
Zr 0.500 0.500 0.500
CELL_PARAMETERS angstrom
0.000 3.390 3.390
3.390 0.000 3.390
3.390 3.390 0.000
```

[17]
## HfH (GGA-PBE)

Data for a relaxed HfH crystal. Values from VASP.

Summary:
Calculated density, g/cm³: 11.86
Uncorrected energy, eV/cell: -14.0

Cell and atoms, written as Quantum ESPRESSO input:
```
&SYSTEM
  ibrav = 0, nat = 2, ntyp = 2
/
ATOMIC_SPECIES
H 1.01 H.upf
Hf 178.49 Hf.upf
ATOMIC_POSITIONS crystal
H 0.000 0.000 0.000
Hf 0.250 0.250 0.250
CELL_PARAMETERS angstrom
0.000 2.325 2.325
2.325 0.000 2.325
2.325 2.325 0.000
```

[18]
## NiAsPd (GGA-PBE)

Data for a relaxed NiAsPd crystal. Values from VASP.

Summary:
Calculated density, g/cm³: 9.44
Uncorrected energy, eV/cell: -49.1

Cell and atoms, written as Quantum ESPRESSO input:
```
&SYSTEM
  ibrav = 0, nat = 9, ntyp = 3
/
ATOMIC_SPECIES
As 74.92 As.upf
Ni 58.69 Ni.upf
Pd 106.42 Pd.upf
ATOMIC_POSITIONS crystal
As 0.667 0.333 0.000
As 0.333 0.667 0.000
As 0.000 0.000 0.500
Ni 0.248 0.000 0.000
Ni 0.000 0.248 0.000
Ni 0.752 0.752 0.000
Pd 0.587 0.000 0.500
Pd 0.413 0.413 0.500
Pd 0.000 0.587 0.500
CELL_PARAMETERS angstrom
-4.314 -4.346 -0.939
5.925 -1.634 0.774
-0.562 -0.255 3.761
```

[19]
## LuTaN2O (GGA-PBE)

Data for a relaxed LuTaN2O crystal. Values from VASP.

Summary:
Calculated density, g/cm³: 11.01
Uncorrected energy, eV/cell: -380.9

Cell and atoms, written as Quantum ESPRESSO input:
```
&SYSTEM
  ibrav = 0, nat = 40, ntyp = 4
/
ATOMIC_SPECIES
Lu 174.97 Lu.upf
N 14.01 N.upf
O 16.00 O.upf
Ta 180.95 Ta.upf
ATOMIC_POSITIONS crystal
Lu 0.752 0.488 0.003
Lu 0.814 0.020 0.031
Lu 0.186 0.520 0.469
Lu 0.248 0.988 0.497
Lu 0.752 0.012 0.503
Lu 0.814 0.480 0.531
Lu 0.186 0.980 0.969
Lu 0.248 0.512 0.997
N 0.412 0.201 0.004
N 0.429 0.769 0.171
N 0.159 0.507 0.182
N 0.726 0.504 0.202
N 0.274 0.004 0.298
N 0.841 0.007 0.318
N 0.571 0.269 0.329
N 0.588 0.701 0.496
N 0.412 0.299 0.504
N 0.429 0.731 0.671
N 0.159 0.993 0.682
N 0.726 0.996 0.702
N 0.274 0.496 0.798
N 0.841 0.493 0.818
N 0.571 0.231 0.829
N 0.588 0.799 0.996
O 0.046 0.186 0.007
O 0.918 0.254 0.176
O 0.082 0.754 0.324
O 0.954 0.686 0.493
O 0.046 0.314 0.507
O 0.918 0.246 0.676
O 0.082 0.746 0.824
O 0.954 0.814 0.993
Ta 0.730 0.762 0.229
Ta 0.720 0.247 0.240
Ta 0.280 0.747 0.260
Ta 0.270 0.262 0.271
Ta 0.730 0.738 0.729
Ta 0.720 0.253 0.740
Ta 0.280 0.753 0.760
Ta 0.270 0.238 0.771
CELL_PARAMETERS angstrom
7.845 0.000 0.000
0.000 7.821 0.000
-7.809 0.000 7.863
```

[20]
## TbDyNCl3 (GGA-PBE)

Data for a relaxed TbDyNCl3 crystal. Values from VASP.

Summary:
Distance to the lowest polymorph of the same formula, eV/f.u.: 0.000
Calculated density, g/cm³: 5.05

Cell and atoms, written as Quantum ESPRESSO input:
```
&SYSTEM
  ibrav = 0, nat = 12, ntyp = 4
/
ATOMIC_SPECIES
Cl 35.45 Cl.upf
Dy 162.50 Dy.upf
N 14.01 N.upf
Tb 158.93 Tb.upf
ATOMIC_POSITIONS crystal
Cl 0.666 0.666 0.012
Cl 0.045 0.045 0.251
Cl 0.781 0.781 0.386
Cl 0.219 0.219 0.614
Cl 0.955 0.955 0.749
Cl 0.334 0.334 0.988
Dy 0.583 0.583 0.456
Dy 0.417 0.417 0.544
N 0.424 0.424 0.344
N 0.576 0.576 0.656
Tb 0.862 0.862 0.208
Tb 0.138 0.138 0.792
CELL_PARAMETERS angstrom
8.259 -1.921 0.000
8.259 1.921 0.000
-5.743 0.000 9.153
```